Below is a relaxed structure of BaCeEuCrO6, with properties calculated at the PBE with a Hubbard U level.

The structure in CIF format:
```
data_BaCeEuCrO6
_chemical_formula_sum 'Ba4 Ce4 Eu4 Cr4 O24'
_cell_length_a 8.356
_cell_length_b 8.356
_cell_length_c 8.356
_cell_angle_alpha 90.00
_cell_angle_beta 90.00
_cell_angle_gamma 90.00
_space_group_name_H-M_alt 'F -4 3 m'
_space_group_IT_number 216
_space_group_name_Hall 'F -4 2 3'
loop_
_atom_site_label
_atom_site_type_symbol
_atom_site_fract_x
_atom_site_fract_y
_atom_site_fract_z
Ba1 Ba 0.000 0.000 0.000
Ce1 Ce 0.250 0.250 0.750
Eu1 Eu 0.000 0.000 0.500
Cr1 Cr 0.250 0.250 0.250
O1 O 0.014 0.250 0.250
```

Its total energy is -8.165 eV/atom. For the total magnetic moment, the calculation gives 4.228 μB/f.u.